A geometry-optimized ReP2CO structure, computed with PBE.

Computed properties:
As for the space group: P4/mmm (123). Its magnetic moment is 1.00 μB/f.u. Its uncorrected formation energy is 1.166 eV per atom. As for the density of states at the Fermi level: 0.556 states/eV/atom. Its total energy is -0.465 Ry/atom. The energy above the most stable polymorph in this dataset comes out at 0 meV/atom.

Cell lengths 4.696, 4.696, 3.700 Å; angles 90.00, 90.00, 90.00 degrees
Last column: magnetic moment on the atom in μB.
Element x y z (fractional)
Re: 0.000 0.000 0.000  0.25
C: 0.500 0.500 0.500  0.59
O: 0.000 0.000 0.500  -0.04
P: 0.000 0.500 0.000  -0.11
P: 0.500 0.000 0.000  -0.11